Tl2SbW (SCAN, PBEsol geometry); calculated density = 13.48 Mg/m³; uncorrected formation energy = 1079 meV/atom; excess energy over the best structure of this formula in the dataset = 78 meV per atom
1.0
3.247 0.000 0.000
0.000 5.035 0.000
0.000 0.000 5.384
W Tl Sb
1 2 1
direct
0.500 0.000 0.500
0.500 0.500 0.000
0.000 0.000 0.000
0.000 0.500 0.500


CoTeAs2 (SCAN, PBEsol geometry); calculated density = 7.51 Mg/m³; uncorrected formation energy = 140 meV/atom
1.0
-2.758 1.825 -0.606
-1.693 -0.417 -2.875
-5.753 -4.887 2.131
Co As Te
1 2 1
direct
0.500 0.500 0.500
0.776 0.776 0.671
0.224 0.224 0.329
0.000 0.000 0.000


Zn3C (SCAN, PBEsol geometry); calculated density = 7.05 Mg/m³; formation enthalpy at 0 K = 417 kJ/mol of formula units
1.0
2.918 0.000 0.000
0.000 4.248 0.045
0.000 -1.584 3.942
C Zn
1 3
direct
0.000 0.000 0.000
0.500 0.500 0.000
0.500 0.000 0.500
0.000 0.500 0.500


KLiCo2 (SCAN, PBEsol geometry); calculated density = 3.86 Mg/m³; formation enthalpy at 0 K = 565 kJ/mol of formula units; excess energy over the best structure of this formula in the dataset = 599 meV per atom
1.0
-0.733 -0.247 -4.573
-1.713 -3.884 -1.867
-4.332 -0.062 -1.654
K Co Li
1 2 1
direct
0.000 0.000 0.000
0.750 0.750 0.750
0.250 0.250 0.250
0.500 0.500 0.500


CeNi (SCAN, PBEsol geometry); calculated density = 8.73 Mg/m³; formation enthalpy at 0 K = -54 kJ/mol of formula units
1.0
3.478 0.000 0.000
0.000 4.135 0.000
-1.739 0.000 5.259
Ni Ce
2 2
direct
0.425 0.750 0.850
0.575 0.250 0.150
0.141 0.750 0.283
0.859 0.250 0.717


AlOsW2 (SCAN, PBEsol geometry); calculated density = 16.25 Mg/m³; formation enthalpy at 0 K = 23 kJ/mol of formula units
1.0
-0.875 -2.076 -1.635
-0.209 -1.537 4.433
-4.398 1.996 -0.180
Al Os W
1 1 2
direct
0.495 0.991 0.500
0.750 0.501 0.251
0.248 0.497 0.740
0.006 0.011 0.010


CaInSe2 (SCAN, PBEsol geometry); calculated density = 5.65 Mg/m³; uncorrected formation energy = -997 meV/atom
1.0
-2.434 -2.503 0.915
1.587 -0.368 3.220
-4.184 5.031 2.636
Se In Ca
2 1 1
direct
0.000 0.000 0.258
0.000 0.000 0.742
0.500 0.500 0.000
0.500 0.500 0.500


Ce3Pt4 (SCAN, PBEsol geometry); calculated density = 13.80 Mg/m³; formation enthalpy at 0 K = -841 kJ/mol of formula units
1.0
5.655 0.000 0.000
-1.885 7.682 0.000
-1.885 -3.841 6.653
Ce Pt
6 8
direct
0.716 0.743 0.122
0.284 0.257 0.878
0.027 0.622 0.743
0.595 0.878 0.622
0.405 0.122 0.378
0.973 0.378 0.257
0.446 0.505 0.669
0.000 0.000 0.000
0.500 0.000 0.000
0.059 0.836 0.505
0.941 0.164 0.495
0.777 0.331 0.836
0.223 0.669 0.164
0.554 0.495 0.331


| no. | total magnetic moment (μB per formula unit) | Fermi-level density of states (states/eV per cell) |
| --- | --- | --- |
| 1 | 0.0 | 2.81 |
| 2 | 0.0 | 2.90 |
| 3 | 0.0 | 1.13 |
| 4 | 3.9 | 5.67 |
| 5 | 0.7 | 5.72 |
| 6 | 0.0 | 2.01 |
| 7 | 0.0 | 1.58 |
| 8 | 2.0 | 21.33 |